Model w:
Crystalline BaSrLi3 at its relaxed geometry, computed with GGA-PBE.

Results
Crystal system: cubic

Lattice parameters (Å, degrees): 5.9297 5.9297 5.9297 90.00 90.00 90.00
Closest atoms and distances in Å follow each position.
Fractional positions:
1 Sr 0.5000 0.5000 0.5000  12 Li 4.19
2 Ba 0.0000 0.0000 0.0000  6 Li 2.96
3 Li 0.0000 0.5000 0.0000  2 Ba 2.96
4 Li 0.0000 0.0000 0.5000  2 Ba 2.96
5 Li 0.5000 0.0000 0.0000  2 Ba 2.96

=====

Model x:
Crystalline BaSrLi3 at its relaxed geometry, computed with GGA-PBE.

Results
Crystal system: cubic

Lattice parameters (Å, degrees): 6.0789 6.0789 6.0789 90.00 90.00 90.00
Closest atoms and distances in Å follow each position.
Fractional positions:
1 Sr 0.0000 0.0000 0.0000  6 Li 3.04
2 Ba 0.5000 0.5000 0.5000  12 Li 4.30
3 Li 0.0000 0.5000 0.0000  2 Sr 3.04
4 Li 0.0000 0.0000 0.5000  2 Sr 3.04
5 Li 0.5000 0.0000 0.0000  2 Sr 3.04

=====

Model y:
Crystalline BaSrLi3 at its relaxed geometry, computed with GGA-PBE.

Results
Crystal system: orthorhombic

Lattice parameters (Å, degrees): 8.6160 8.7139 10.1500 90.00 90.00 90.00
Closest atoms and distances in Å follow each position.
Fractional positions:
1 Ba 0.3160 0.1753 0.5000  6 Li 3.51-3.68
2 Ba 0.6840 0.8247 0.5000  6 Li 3.51-3.68
3 Ba 0.8161 0.3247 0.0000  6 Li 3.51-3.68
4 Ba 0.1839 0.6753 0.0000  6 Li 3.51-3.68
5 Sr 0.1816 0.6742 0.5000  6 Li 3.53-3.66
6 Sr 0.3183 0.1741 0.0000  6 Li 3.53-3.66
7 Sr 0.8184 0.3258 0.5000  6 Li 3.53-3.66
8 Sr 0.6817 0.8259 0.0000  6 Li 3.53-3.66
9 Li 0.6201 0.1236 0.2495  1 Li 2.99
10 Li 0.1201 0.3764 0.7495  1 Li 2.99
11 Li 0.5000 0.5000 0.2532  4 Li 3.44-3.45
12 Li 0.0000 0.0000 0.2468  4 Li 3.44-3.45
13 Li 0.5000 0.5000 0.7468  4 Li 3.44-3.45
14 Li 0.3799 0.8764 0.7505  1 Li 2.99
15 Li 0.3799 0.8764 0.2495  1 Li 2.99
16 Li 0.6201 0.1236 0.7505  1 Li 2.99
17 Li 0.8799 0.6236 0.2505  1 Li 2.99
18 Li 0.0000 0.0000 0.7532  4 Li 3.44-3.45
19 Li 0.8799 0.6236 0.7495  1 Li 2.99
20 Li 0.1201 0.3764 0.2505  1 Li 2.99

=====

Stability ranking, top and bottom: model y is the most stable and model w is the least stable.

=====

Model w:
Crystalline Ba2Sr8Li at its relaxed geometry, computed with GGA-PBE.

Results
Crystal system: monoclinic

Lattice parameters (Å, degrees): 5.9326 9.6110 11.2380 105.72 105.30 90.00
Closest atoms and distances in Å follow each position.
Fractional positions:
1 Ba 0.2243 0.6359 0.4486  10 Sr 4.25-4.42, 2 Ba 4.30
2 Ba 0.7757 0.3641 0.5514  10 Sr 4.25-4.42, 2 Ba 4.30
3 Sr 0.5861 0.4375 0.1723  8 Sr 4.08-4.39, 1 Li 4.09, 3 Ba 4.27-4.36
4 Sr 0.3223 0.0928 0.6446  8 Sr 4.18-4.45, 1 Li 4.19, 3 Ba 4.25-4.31
5 Sr 0.1284 0.1647 0.2568  2 Li 4.07, 7 Sr 4.10-4.45, 3 Ba 4.39-4.42
6 Sr 0.0434 0.7264 0.0867  9 Sr 4.08-4.34, 2 Li 4.24, 1 Ba 4.25
7 Sr 0.8716 0.8353 0.7432  2 Li 4.07, 7 Sr 4.10-4.45, 3 Ba 4.39-4.42
8 Sr 0.6777 0.9072 0.3554  8 Sr 4.18-4.45, 1 Li 4.19, 3 Ba 4.25-4.31
9 Sr 0.4139 0.5625 0.8277  8 Sr 4.08-4.39, 1 Li 4.09, 3 Ba 4.27-4.36
10 Sr 0.9566 0.2736 0.9133  9 Sr 4.08-4.34, 2 Li 4.24, 1 Ba 4.25
11 Li 0.5000 0.0000 0.0000  12 Sr 4.07-4.24

=====

Model x:
Crystalline Ba2Sr8Li at its relaxed geometry, computed with GGA-PBE.

Results
Crystal system: tetragonal

Lattice parameters (Å, degrees): 6.0485 6.0485 16.5560 90.00 90.00 90.00
Closest atoms and distances in Å follow each position.
Fractional positions:
1 Ba 0.0000 0.0000 0.3098  12 Sr 4.28-4.37
2 Ba 0.0000 0.0000 0.6902  12 Sr 4.28-4.37
3 Sr 0.0000 0.5000 0.5000  8 Sr 4.28-4.33, 4 Ba 4.37
4 Sr 0.5000 0.0000 0.5000  8 Sr 4.28-4.33, 4 Ba 4.37
5 Sr 0.5000 0.5000 0.3130  4 Ba 4.28, 8 Sr 4.33-4.36
6 Sr 0.5000 0.5000 0.6870  4 Ba 4.28, 8 Sr 4.33-4.36
7 Sr 0.0000 0.5000 0.1237  2 Li 3.65
8 Sr 0.5000 0.0000 0.1237  2 Li 3.65
9 Sr 0.0000 0.5000 0.8763  2 Li 3.65
10 Sr 0.5000 0.0000 0.8763  2 Li 3.65
11 Li 0.0000 0.0000 0.0000  8 Sr 3.65

=====

Stability ranking, top and bottom: model w is the most stable and model x is the least stable.

=====

Model w:
Crystalline BaSr5Li at its relaxed geometry, computed with GGA-PBE.

Results
Crystal system: tetragonal

Lattice parameters (Å, degrees): 6.0053 6.0052 10.4420 90.00 90.00 90.00
Closest atoms and distances in Å follow each position.
Fractional positions:
1 Ba 0.0000 0.0000 0.5000  12 Sr 4.25-4.36
2 Sr 0.0000 0.5000 0.8029  2 Li 3.64
3 Sr 0.0000 0.5000 0.1971  2 Li 3.64
4 Sr 0.5000 0.0000 0.8029  2 Li 3.64
5 Sr 0.5000 0.0000 0.1971  2 Li 3.64
6 Sr 0.5000 0.5000 0.5000  4 Ba 4.25, 8 Sr 4.36
7 Li 0.5000 0.5000 0.0000  8 Sr 3.64

=====

Model x:
Crystalline BaSr5Li at its relaxed geometry, computed with GGA-PBE.

Results
Crystal system: tetragonal

Lattice parameters (Å, degrees): 5.9961 5.9961 10.4411 90.00 90.00 90.00
Closest atoms and distances in Å follow each position.
Fractional positions:
1 Ba 0.0000 0.0000 0.0000  12 Sr 4.24-4.36
2 Sr 0.5000 0.0000 0.6972  2 Li 3.64
3 Sr 0.0000 0.5000 0.6972  2 Li 3.64
4 Sr 0.5000 0.5000 0.0000  4 Ba 4.24, 8 Sr 4.36
5 Sr 0.0000 0.5000 0.3028  2 Li 3.64
6 Sr 0.5000 0.0000 0.3028  2 Li 3.64
7 Li 0.0000 0.0000 0.5000  8 Sr 3.64

=====

Stability ranking, top and bottom: model x is the most stable and model w is the least stable.

=====

Model w:
Crystalline BaSr2LiZn at its relaxed geometry, computed with GGA-PBE.

Results
Crystal system: tetragonal

Lattice parameters (Å, degrees): 6.3318 6.3318 5.3586 90.00 90.00 90.00
Closest atoms and distances in Å follow each position.
Fractional positions:
1 Sr 0.0000 0.5000 0.0000  2 Zn 3.17
2 Sr 0.5000 0.0000 0.0000  2 Zn 3.17
3 Zn 0.0000 0.0000 0.0000  2 Li 2.68
4 Ba 0.5000 0.5000 0.5000  8 Sr 4.15, 4 Li 4.48
5 Li 0.0000 0.0000 0.5000  2 Zn 2.68

=====

Model x:
Crystalline BaSr2LiZn at its relaxed geometry, computed with GGA-PBE.

Results
Crystal system: tetragonal

Lattice parameters (Å, degrees): 6.2309 6.2309 6.3656 90.00 90.00 90.00
Closest atoms and distances in Å follow each position.
Fractional positions:
1 Sr 0.0000 0.5000 0.0000  2 Zn 3.12
2 Sr 0.5000 0.0000 0.0000  2 Zn 3.12
3 Zn 0.0000 0.0000 0.0000  4 Sr 3.12, 2 Ba 3.18
4 Ba 0.0000 0.0000 0.5000  2 Zn 3.18
5 Li 0.5000 0.5000 0.5000  4 Ba 4.41, 8 Sr 4.45

=====

Stability ranking, top and bottom: model w is the most stable and model x is the least stable.

=====

Model w:
Crystalline BaSrLi2Zn at its relaxed geometry, computed with GGA-PBE.

Results
Crystal system: tetragonal

Lattice parameters (Å, degrees): 5.5031 5.5031 5.9145 90.00 90.00 90.00
Closest atoms and distances in Å follow each position.
Fractional positions:
1 Sr 0.0000 0.0000 0.5000  2 Zn 2.96
2 Zn 0.0000 0.0000 0.0000  4 Li 2.75, 2 Sr 2.96
3 Ba 0.5000 0.5000 0.5000  4 Sr 3.89, 8 Li 4.04
4 Li 0.0000 0.5000 0.0000  2 Zn 2.75
5 Li 0.5000 0.0000 0.0000  2 Zn 2.75

=====

Model x:
Crystalline BaSrLi2Zn at its relaxed geometry, computed with GGA-PBE.

Results
Crystal system: tetragonal

Lattice parameters (Å, degrees): 5.5337 5.5337 6.0392 90.00 90.00 90.00
Closest atoms and distances in Å follow each position.
Fractional positions:
1 Sr 0.5000 0.5000 0.5000  4 Ba 3.91, 8 Li 4.10
2 Zn 0.0000 0.0000 0.0000  4 Li 2.77, 2 Ba 3.02
3 Ba 0.0000 0.0000 0.5000  2 Zn 3.02
4 Li 0.0000 0.5000 0.0000  2 Zn 2.77
5 Li 0.5000 0.0000 0.0000  2 Zn 2.77

=====

Stability ranking, top and bottom: model w is the most stable and model x is the least stable.

=====

Model w:
Crystalline BaLiTa2 at its relaxed geometry, computed with GGA-PBE.

Results
Crystal system: trigonal

Lattice parameters (Å, degrees): 11.7638 11.7638 11.7638 14.68 14.68 14.68
Closest atoms and distances in Å follow each position.
Fractional positions:
1 Ba 0.2500 0.2500 0.2500  6 Ba 3.01
2 Li 0.7500 0.7500 0.7500  6 Li 3.01, 6 Ta 3.12
3 Ta 0.0091 0.0091 0.0091  6 Ta 3.01, 3 Li 3.12
4 Ta 0.4909 0.4909 0.4909  6 Ta 3.01, 3 Li 3.12

=====

Model x:
Crystalline BaLiTa2 at its relaxed geometry, computed with GGA-PBE.

Results
Crystal system: tetragonal

Lattice parameters (Å, degrees): 3.5606 3.5606 8.1866 90.00 90.00 90.00
Closest atoms and distances in Å follow each position.
Fractional positions:
1 Ba 0.0000 0.0000 0.4771  4 Ba 3.56, 5 Ta 3.58-3.65, 4 Li 3.80
2 Li 0.5000 0.5000 0.8253  5 Ta 2.79-3.03
3 Ta 0.0000 0.0000 0.0314  4 Ta 2.75, 4 Li 3.03
4 Ta 0.5000 0.5000 0.1663  4 Ta 2.75, 1 Li 2.79

=====

Stability ranking, top and bottom: model x is the most stable and model w is the least stable.

=====

Model w:
Crystalline BaLiTa2 at its relaxed geometry, computed with GGA-PBE.

Results
Crystal system: tetragonal

Lattice parameters (Å, degrees): 3.2274 3.2274 8.4584 90.00 90.00 90.00
Closest atoms and distances in Å follow each position.
Fractional positions:
1 Ba 0.5000 0.5000 0.2500  4 Ba 3.23
2 Li 0.5000 0.5000 0.7500  8 Ta 2.68
3 Ta 0.0000 0.0000 0.9163  4 Li 2.68, 1 Ta 2.81
4 Ta 0.0000 0.0000 0.5837  4 Li 2.68, 1 Ta 2.81

=====

Model x:
Crystalline BaLiTa2 at its relaxed geometry, computed with GGA-PBE.

Results
Crystal system: tetragonal

Lattice parameters (Å, degrees): 4.9016 4.9016 11.1027 77.25 77.25 90.00
Closest atoms and distances in Å follow each position.
Fractional positions:
1 Li 0.5000 0.5000 0.0000  4 Ta 2.91
2 Li 0.2500 0.7500 0.5000  4 Ta 2.91
3 Ba 0.0000 0.0000 0.0000  4 Li 3.47, 8 Ta 3.80
4 Ba 0.7500 0.2500 0.5000  4 Li 3.47, 8 Ta 3.80
5 Ta 0.3749 0.1250 0.2500  2 Ta 2.45
6 Ta 0.3751 0.6250 0.2500  2 Ta 2.45
7 Ta 0.3750 0.6251 0.7500  2 Ta 2.45
8 Ta 0.8750 0.6249 0.7500  2 Ta 2.45

=====

Model y:
Crystalline BaLiTa2 at its relaxed geometry, computed with GGA-PBE.

Results
Crystal system: tetragonal

Lattice parameters (Å, degrees): 5.4909 4.0914 4.0914 90.00 90.00 90.00
Closest atoms and distances in Å follow each position.
Fractional positions:
1 Ba 0.5000 0.5000 0.0000  4 Li 2.89
2 Li 0.5000 0.0000 0.5000  4 Ba 2.89
3 Ta 0.0000 0.0000 0.0000  4 Ta 2.89
4 Ta 0.0000 0.5000 0.5000  4 Ta 2.89

=====

Stability ranking, top and bottom: model w is the most stable and model x is the least stable.

=====

Model w:
Crystalline BaLiTa2 at its relaxed geometry, computed with GGA-PBE.

Results
Crystal system: orthorhombic

Lattice parameters (Å, degrees): 2.9300 2.9300 11.3450 90.00 90.00 111.79
Closest atoms and distances in Å follow each position.
Fractional positions:
1 Ba 0.5000 0.5000 0.2500  4 Ba 2.93
2 Li 0.5000 0.5000 0.7500  4 Li 2.93, 4 Ta 3.04
3 Ta 0.0000 0.0000 0.9756  4 Ta 2.93, 2 Li 3.04
4 Ta 0.0000 0.0000 0.5244  4 Ta 2.93, 2 Li 3.04

=====

Model x:
Crystalline BaLiTa2 at its relaxed geometry, computed with GGA-PBE.

Results
Crystal system: cubic

Lattice parameters (Å, degrees): 4.9789 4.9789 4.9789 60.00 60.00 60.00
Closest atoms and distances in Å follow each position.
Fractional positions:
1 Ba 0.5000 0.5000 0.5000  4 Li 3.05, 4 Ta 3.05
2 Li 0.7500 0.7500 0.7500  4 Ba 3.05, 4 Ta 3.05
3 Ta 0.0000 0.0000 0.0000  4 Ta 3.05, 4 Li 3.05
4 Ta 0.2500 0.2500 0.2500  4 Ba 3.05, 4 Ta 3.05

=====

Model y:
Crystalline BaLiTa2 at its relaxed geometry, computed with GGA-PBE.

Results
Crystal system: tetragonal

Lattice parameters (Å, degrees): 5.3414 5.3414 3.0968 90.00 90.00 90.00
Closest atoms and distances in Å follow each position.
Fractional positions:
1 Ba 0.5000 0.0000 0.5000  8 Ta 3.09, 2 Ba 3.10
2 Li 0.0000 0.5000 0.5000  8 Ta 3.09, 2 Li 3.10
3 Ta 0.0000 0.0000 0.0000  4 Ba 3.09, 4 Li 3.09, 2 Ta 3.10
4 Ta 0.5000 0.5000 0.0000  4 Li 3.09, 4 Ba 3.09, 2 Ta 3.10

=====

Stability ranking, top and bottom: model x is the most stable and model y is the least stable.